No. 1
A plane-wave DFT calculation with PBE was carried out for an optimized crystal structure of Rh3IBr.

Calculated values
Calculated density in g/cm3: 7.1
Offset from the most stable computed form in kcal/mol of atoms: 3.315
E in eV per atom: -3.882
Formation energy (no corrections) in eV per atom: 1.174
Total magnetic moment in μB/cell: 0.2

Structure (CIF):
```
data_Rh3IBr
_chemical_formula_sum 'Rh3 I1 Br1'
_space_group_name_H-M_alt 'P 1'
_space_group_IT_number 1
_cell_length_a 4.930
_cell_length_b 4.930
_cell_length_c 4.930
_cell_angle_alpha 90.00
_cell_angle_beta 90.00
_cell_angle_gamma 90.00
loop_
_space_group_symop_operation_xyz
'x,y,z'
loop_
_atom_site_label
_atom_site_type_symbol
_atom_site_fract_x
_atom_site_fract_y
_atom_site_fract_z
_atom_site_occupancy
Br1 Br 0.500 0.500 0.500 1
I1 I 0.000 0.000 0.000 1
Rh1 Rh 0.000 0.000 0.500 1
Rh2 Rh 0.000 0.500 0.000 1
Rh3 Rh 0.500 0.000 0.000 1
```

No. 2
A plane-wave DFT calculation with PBE was carried out for an optimized crystal structure of SbRhI2Br.

Calculated values
Calculated density in g/cm3: 6.1
Offset from the most stable computed form in kcal/mol of atoms: 0.000
E in eV per atom: -3.056
Formation energy (no corrections) in eV per atom: 0.193
Total magnetic moment in μB/cell: 0.0

Structure (CIF):
```
data_SbRhI2Br
_chemical_formula_sum 'Sb1 Rh1 I2 Br1'
_space_group_name_H-M_alt 'P 1'
_space_group_IT_number 1
_cell_length_a 5.461
_cell_length_b 5.461
_cell_length_c 5.135
_cell_angle_alpha 90.00
_cell_angle_beta 90.00
_cell_angle_gamma 90.00
loop_
_space_group_symop_operation_xyz
'x,y,z'
loop_
_atom_site_label
_atom_site_type_symbol
_atom_site_fract_x
_atom_site_fract_y
_atom_site_fract_z
_atom_site_occupancy
Sb1 Sb 0.000 0.000 0.500 1
I1 I 0.000 0.500 0.000 1
I2 I 0.500 0.000 0.000 1
Rh1 Rh 0.000 0.000 0.000 1
Br1 Br 0.500 0.500 0.500 1
```

No. 3
A plane-wave DFT calculation with PBE was carried out for an optimized crystal structure of SbRhI2Br.

Calculated values
Calculated density in g/cm3: 4.8
Offset from the most stable computed form in kcal/mol of atoms: 25.682
E in eV per atom: -1.942
Formation energy (no corrections) in eV per atom: 1.307
Total magnetic moment in μB/cell: 3.1

Structure (CIF):
```
data_SbRhI2Br
_chemical_formula_sum 'Sb1 Rh1 I2 Br1'
_space_group_name_H-M_alt 'P 1'
_space_group_IT_number 1
_cell_length_a 5.776
_cell_length_b 5.776
_cell_length_c 5.739
_cell_angle_alpha 90.00
_cell_angle_beta 90.00
_cell_angle_gamma 90.00
loop_
_space_group_symop_operation_xyz
'x,y,z'
loop_
_atom_site_label
_atom_site_type_symbol
_atom_site_fract_x
_atom_site_fract_y
_atom_site_fract_z
_atom_site_occupancy
I1 I 0.000 0.500 0.000 1
I2 I 0.500 0.000 0.000 1
Br1 Br 0.000 0.000 0.000 1
Sb1 Sb 0.000 0.000 0.500 1
Rh1 Rh 0.500 0.500 0.500 1
```

No. 4
A plane-wave DFT calculation with PBE was carried out for an optimized crystal structure of RhSeIBr2.

Calculated values
Calculated density in g/cm3: 6.0
Offset from the most stable computed form in kcal/mol of atoms: 0.000
E in eV per atom: -2.952
Formation energy (no corrections) in eV per atom: 0.195
Total magnetic moment in μB/cell: 0.0

Structure (CIF):
```
data_RhSeIBr2
_chemical_formula_sum 'Rh1 Se1 I1 Br2'
_space_group_name_H-M_alt 'P 1'
_space_group_IT_number 1
_cell_length_a 5.122
_cell_length_b 5.122
_cell_length_c 4.927
_cell_angle_alpha 90.00
_cell_angle_beta 90.00
_cell_angle_gamma 90.00
loop_
_space_group_symop_operation_xyz
'x,y,z'
loop_
_atom_site_label
_atom_site_type_symbol
_atom_site_fract_x
_atom_site_fract_y
_atom_site_fract_z
_atom_site_occupancy
Br1 Br 0.500 0.000 0.000 1
Br2 Br 0.000 0.500 0.000 1
I1 I 0.500 0.500 0.500 1
Rh1 Rh 0.000 0.000 0.000 1
Se1 Se 0.000 0.000 0.500 1
```

No. 5
A plane-wave DFT calculation with PBE was carried out for an optimized crystal structure of SiRhI2Br.

Calculated values
Calculated density in g/cm3: 4.5
E in eV per atom: -2.273
Formation energy (no corrections) in eV per atom: 1.237
Total magnetic moment in μB/cell: 0.0

Structure (CIF):
```
data_SiRhI2Br
_chemical_formula_sum 'Si1 Rh1 I2 Br1'
_space_group_name_H-M_alt 'P 1'
_space_group_IT_number 1
_cell_length_a 6.141
_cell_length_b 4.598
_cell_length_c 6.141
_cell_angle_alpha 90.00
_cell_angle_beta 90.00
_cell_angle_gamma 90.00
loop_
_space_group_symop_operation_xyz
'x,y,z'
loop_
_atom_site_label
_atom_site_type_symbol
_atom_site_fract_x
_atom_site_fract_y
_atom_site_fract_z
_atom_site_occupancy
Si1 Si 0.500 0.500 0.500 1
Rh1 Rh 0.000 0.500 0.000 1
Br1 Br 0.000 0.000 0.000 1
I1 I 0.500 0.000 0.000 1
I2 I 0.000 0.000 0.500 1
```

No. 6
A plane-wave DFT calculation with PBE was carried out for an optimized crystal structure of SnRhIBr2.

Calculated values
Calculated density in g/cm3: 6.0
E in eV per atom: -3.356
Formation energy (no corrections) in eV per atom: -0.106
Total magnetic moment in μB/cell: 0.0

Structure (CIF):
```
data_SnRhIBr2
_chemical_formula_sum 'Sn1 Rh1 I1 Br2'
_space_group_name_H-M_alt 'P 1'
_space_group_IT_number 1
_cell_length_a 5.009
_cell_length_b 5.568
_cell_length_c 5.009
_cell_angle_alpha 90.00
_cell_angle_beta 90.00
_cell_angle_gamma 90.00
loop_
_space_group_symop_operation_xyz
'x,y,z'
loop_
_atom_site_label
_atom_site_type_symbol
_atom_site_fract_x
_atom_site_fract_y
_atom_site_fract_z
_atom_site_occupancy
I1 I 0.500 0.500 0.500 1
Rh1 Rh 0.000 0.000 0.000 1
Sn1 Sn 0.000 0.500 0.000 1
Br1 Br 0.000 0.000 0.500 1
Br2 Br 0.500 0.000 0.000 1
```

No. 7
A plane-wave DFT calculation with PBE was carried out for an optimized crystal structure of Tc2RhIBr.

Calculated values
Calculated density in g/cm3: 6.1
Offset from the most stable computed form in kcal/mol of atoms: 0.000
E in eV per atom: -4.821
Formation energy (no corrections) in eV per atom: 1.440
Total magnetic moment in μB/cell: 9.0

Structure (CIF):
```
data_Tc2RhIBr
_chemical_formula_sum 'Tc2 Rh1 I1 Br1'
_space_group_name_H-M_alt 'P 1'
_space_group_IT_number 1
_cell_length_a 5.248
_cell_length_b 5.038
_cell_length_c 5.248
_cell_angle_alpha 90.00
_cell_angle_beta 90.00
_cell_angle_gamma 90.00
loop_
_space_group_symop_operation_xyz
'x,y,z'
loop_
_atom_site_label
_atom_site_type_symbol
_atom_site_fract_x
_atom_site_fract_y
_atom_site_fract_z
_atom_site_occupancy
Br1 Br 0.500 0.500 0.500 1
Tc1 Tc 0.500 0.000 0.000 1
Tc2 Tc 0.000 0.000 0.500 1
Rh1 Rh 0.000 0.000 0.000 1
I1 I 0.000 0.500 0.000 1
```

No. 8
A plane-wave DFT calculation with PBE was carried out for an optimized crystal structure of Tc2RhIBr.

Calculated values
Calculated density in g/cm3: 6.6
Offset from the most stable computed form in kcal/mol of atoms: 7.534
E in eV per atom: -4.494
Formation energy (no corrections) in eV per atom: 1.767
Total magnetic moment in μB/cell: 5.6

Structure (CIF):
```
data_Tc2RhIBr
_chemical_formula_sum 'Tc2 Rh1 I1 Br1'
_space_group_name_H-M_alt 'P 1'
_space_group_IT_number 1
_cell_length_a 5.093
_cell_length_b 4.872
_cell_length_c 5.093
_cell_angle_alpha 90.00
_cell_angle_beta 90.00
_cell_angle_gamma 90.00
loop_
_space_group_symop_operation_xyz
'x,y,z'
loop_
_atom_site_label
_atom_site_type_symbol
_atom_site_fract_x
_atom_site_fract_y
_atom_site_fract_z
_atom_site_occupancy
I1 I 0.000 0.000 0.000 1
Tc1 Tc 0.000 0.000 0.500 1
Tc2 Tc 0.500 0.000 0.000 1
Br1 Br 0.500 0.500 0.500 1
Rh1 Rh 0.000 0.500 0.000 1
```

No. 9
A plane-wave DFT calculation with PBE was carried out for an optimized crystal structure of TeRhI2Br.

Calculated values
Calculated density in g/cm3: 5.0
Offset from the most stable computed form in kcal/mol of atoms: 22.343
E in eV per atom: -1.846
Formation energy (no corrections) in eV per atom: 1.207
Total magnetic moment in μB/cell: 2.3

Structure (CIF):
```
data_TeRhI2Br
_chemical_formula_sum 'Te1 Rh1 I2 Br1'
_space_group_name_H-M_alt 'P 1'
_space_group_IT_number 1
_cell_length_a 5.803
_cell_length_b 5.803
_cell_length_c 5.618
_cell_angle_alpha 90.00
_cell_angle_beta 90.00
_cell_angle_gamma 90.00
loop_
_space_group_symop_operation_xyz
'x,y,z'
loop_
_atom_site_label
_atom_site_type_symbol
_atom_site_fract_x
_atom_site_fract_y
_atom_site_fract_z
_atom_site_occupancy
I1 I 0.500 0.000 0.000 1
I2 I 0.000 0.500 0.000 1
Br1 Br 0.000 0.000 0.000 1
Rh1 Rh 0.500 0.500 0.500 1
Te1 Te 0.000 0.000 0.500 1
```

No. 10
A plane-wave DFT calculation with PBE was carried out for an optimized crystal structure of Te2RhIBr.

Calculated values
Calculated density in g/cm3: 5.2
Offset from the most stable computed form in kcal/mol of atoms: 24.325
E in eV per atom: -2.052
Formation energy (no corrections) in eV per atom: 1.320
Total magnetic moment in μB/cell: 2.8

Structure (CIF):
```
data_Te2RhIBr
_chemical_formula_sum 'Te2 Rh1 I1 Br1'
_space_group_name_H-M_alt 'P 1'
_space_group_IT_number 1
_cell_length_a 5.603
_cell_length_b 5.603
_cell_length_c 5.700
_cell_angle_alpha 90.00
_cell_angle_beta 90.00
_cell_angle_gamma 90.00
loop_
_space_group_symop_operation_xyz
'x,y,z'
loop_
_atom_site_label
_atom_site_type_symbol
_atom_site_fract_x
_atom_site_fract_y
_atom_site_fract_z
_atom_site_occupancy
Te1 Te 0.000 0.500 0.000 1
Te2 Te 0.500 0.000 0.000 1
Rh1 Rh 0.500 0.500 0.500 1
I1 I 0.000 0.000 0.500 1
Br1 Br 0.000 0.000 0.000 1
```

No. 11
A plane-wave DFT calculation with PBE was carried out for an optimized crystal structure of Te2RhIBr.

Calculated values
Calculated density in g/cm3: 6.3
Offset from the most stable computed form in kcal/mol of atoms: 0.000
E in eV per atom: -3.106
Formation energy (no corrections) in eV per atom: 0.265
Total magnetic moment in μB/cell: 0.0

Structure (CIF):
```
data_Te2RhIBr
_chemical_formula_sum 'Te2 Rh1 I1 Br1'
_space_group_name_H-M_alt 'P 1'
_space_group_IT_number 1
_cell_length_a 5.216
_cell_length_b 5.216
_cell_length_c 5.513
_cell_angle_alpha 90.00
_cell_angle_beta 90.00
_cell_angle_gamma 90.00
loop_
_space_group_symop_operation_xyz
'x,y,z'
loop_
_atom_site_label
_atom_site_type_symbol
_atom_site_fract_x
_atom_site_fract_y
_atom_site_fract_z
_atom_site_occupancy
Rh1 Rh 0.000 0.000 0.000 1
Te1 Te 0.500 0.000 0.000 1
Te2 Te 0.000 0.500 0.000 1
I1 I 0.000 0.000 0.500 1
Br1 Br 0.500 0.500 0.500 1
```

No. 12
A plane-wave DFT calculation with PBE was carried out for an optimized crystal structure of TeRhI2Br.

Calculated values
Calculated density in g/cm3: 6.0
Offset from the most stable computed form in kcal/mol of atoms: 0.000
E in eV per atom: -2.815
Formation energy (no corrections) in eV per atom: 0.238
Total magnetic moment in μB/cell: 0.0

Structure (CIF):
```
data_TeRhI2Br
_chemical_formula_sum 'Te1 Rh1 I2 Br1'
_space_group_name_H-M_alt 'P 1'
_space_group_IT_number 1
_cell_length_a 5.514
_cell_length_b 5.514
_cell_length_c 5.095
_cell_angle_alpha 90.00
_cell_angle_beta 90.00
_cell_angle_gamma 90.00
loop_
_space_group_symop_operation_xyz
'x,y,z'
loop_
_atom_site_label
_atom_site_type_symbol
_atom_site_fract_x
_atom_site_fract_y
_atom_site_fract_z
_atom_site_occupancy
I1 I 0.000 0.500 0.000 1
I2 I 0.500 0.000 0.000 1
Br1 Br 0.500 0.500 0.500 1
Rh1 Rh 0.000 0.000 0.000 1
Te1 Te 0.000 0.000 0.500 1
```